Record 1
Material: La2ZnBr
Method: DFT, SCAN
State: PBEsol geometry

Geometry as extended XYZ:
```
4
Lattice="5.2657 0.0000 0.0000 2.6329 4.5603 0.0000 2.6329 1.5201 4.2995" Properties=species:S:1:pos:R:3 pbc="T T T"
Br 5.2657 3.0402 2.1497
La 2.6329 1.5201 1.0749
La 7.8986 4.5603 3.2246
Zn 0.0000 0.0000 0.0000
```

- space group = Fm-3m, No. 225

---

Record 2
Material: La2ZnBr
Method: DFT, SCAN
State: PBEsol geometry

Geometry as extended XYZ:
```
4
Lattice="4.2756 0.0000 0.0000 0.0000 4.2756 0.0000 0.0000 0.0000 6.1047" Properties=species:S:1:pos:R:3 pbc="T T T"
Zn 0.0000 0.0000 2.2897
Br 2.1378 2.1378 5.3419
La 0.0000 0.0000 5.3415
La 2.1378 2.1378 2.2887
```

- space group = P4/mmm, No. 123

---

Record 3
Material: LaZn2Br
Method: DFT, SCAN
State: PBEsol geometry

Geometry as extended XYZ:
```
4
Lattice="-0.8222 -3.6093 -0.5715 2.1591 0.1432 -4.0107 4.9582 -1.5434 2.6141" Properties=species:S:1:pos:R:3 pbc="T T T"
Br 0.6685 -1.7331 -2.2911
La 3.1475 -2.5048 -0.9840
Zn 3.6439 -1.1343 1.9212
Zn 1.3142 -0.4091 0.6929
```

- space group = Pmmm, No. 47

---

Record 4
Material: La2ZnBr
Method: DFT, SCAN
State: PBEsol geometry

Geometry as extended XYZ:
```
4
Lattice="3.5925 0.0000 0.0000 0.0000 5.0543 0.0101 -1.7962 -0.0113 5.8141" Properties=species:S:1:pos:R:3 pbc="T T T"
Br 1.7962 0.6265 2.7964
La 0.0000 0.6312 0.0079
La 0.0000 3.1535 2.9186
Zn 1.7962 3.1589 0.1062
```

- space group = Amm2, No. 38

---

| no. | magnetization (Bohr magnetons per cell) | ΔE to the lowest computed polymorph (kJ/mol of atoms) |
| --- | --- | --- |
| 1 | 0.00 | 26.9 |
| 2 | 0.00 | 0.0 |
| 3 | 0.00 | 15.3 |
| 4 | 0.00 | 11.0 |